[1]
The following is a GGA-PBE calculation of a relaxed PmCo2 crystal, from OQMD.

```
PmCo2
1.0
4.258 2.458 6.953
-4.258 2.458 6.953
0.000 -4.917 6.953
Pm Co
2 4
Direct
0.500 0.500 0.500
0.250 0.250 0.250
0.375 0.375 0.375
0.375 0.375 0.875
0.875 0.375 0.375
0.375 0.875 0.375
```

Calculated volume in A^3/atom: 72.779
SG: Fd-3m (227)
Distance to the lowest polymorph of the same formula in eV per atom: 2.635
Formation energy in eV per atom: 2.585


[2]
The following is a GGA-PBE calculation of a relaxed SrNdSi2Os2 crystal, from OQMD.

```
SrNdSi2Os2
1.0
4.254 0.000 0.000
0.000 4.254 0.000
0.000 0.000 7.295
Nd Si Os Sr
1 2 2 1
Direct
0.500 0.500 0.693
0.500 0.500 0.157
0.000 0.000 0.831
0.000 0.500 0.993
0.500 0.000 0.993
0.000 0.000 0.333
```

Calculated volume in A^3/atom: 22.006
SG: P4mm (99)
VASP energy in eV per atom: -7.117


What did the second record say?
The following is a GGA-PBE calculation of a relaxed SrNdSi2Os2 crystal, from OQMD.

```
SrNdSi2Os2
1.0
4.254 0.000 0.000
0.000 4.254 0.000
0.000 0.000 7.295
Nd Si Os Sr
1 2 2 1
Direct
0.500 0.500 0.693
0.500 0.500 0.157
0.000 0.000 0.831
0.000 0.500 0.993
0.500 0.000 0.993
0.000 0.000 0.333
```

Calculated volume in A^3/atom: 22.006
SG: P4mm (99)
VASP energy in eV per atom: -7.117


Please write out number 2 again, unchanged.
The following is a GGA-PBE calculation of a relaxed SrNdSi2Os2 crystal, from OQMD.

```
SrNdSi2Os2
1.0
4.254 0.000 0.000
0.000 4.254 0.000
0.000 0.000 7.295
Nd Si Os Sr
1 2 2 1
Direct
0.500 0.500 0.693
0.500 0.500 0.157
0.000 0.000 0.831
0.000 0.500 0.993
0.500 0.000 0.993
0.000 0.000 0.333
```

Calculated volume in A^3/atom: 22.006
SG: P4mm (99)
VASP energy in eV per atom: -7.117